## Y2MnVSe (PBE)

Data for crystalline Y2MnVSe at its relaxed geometry.

total energy	-6.4468	eV/atom
M_tot	0.313	μB/atom
E_form (uncorrected)	493	meV/atom
space group	P4/mmm

Cell lengths 5.3150, 5.3150, 4.4680 Å; angles 90.00, 90.00, 90.00 degrees
With the nearest neighbours (Å) after each atom.
Fractional positions:
Y: 0.0000 0.5000 0.0000  2 Se 2.66
Y: 0.5000 0.0000 0.0000  2 Se 2.66
Mn: 0.0000 0.0000 0.5000  8 Y 3.47, 4 V 3.76
V: 0.5000 0.5000 0.5000  2 Se 2.23
Se: 0.5000 0.5000 0.0000  2 V 2.23